1.
Entry from the Alexandria database: Rb3NaTiO4 at its PBEsol-relaxed geometry (meta-GGA SCAN).

Lattice parameters (Å, degrees): 10.672 6.400 10.798 90.00 112.55 90.00
Sites, in units of the cell vectors:
Rb: 0.039 0.156 0.171
Rb: 0.039 0.344 0.671
Rb: 0.320 0.623 0.896
Rb: 0.320 0.877 0.396
Rb: 0.455 0.111 0.810
Rb: 0.455 0.389 0.310
Rb: 0.545 0.611 0.690
Rb: 0.545 0.889 0.190
Rb: 0.680 0.123 0.604
Rb: 0.680 0.377 0.104
Rb: 0.961 0.656 0.329
Rb: 0.961 0.844 0.829
Na: 0.127 0.615 0.108
Na: 0.127 0.885 0.608
Na: 0.873 0.115 0.392
Na: 0.873 0.385 0.892
Ti: 0.242 0.136 0.986
Ti: 0.242 0.364 0.486
Ti: 0.758 0.636 0.514
Ti: 0.758 0.864 0.014
O: 0.113 0.159 0.462
O: 0.113 0.341 0.962
O: 0.207 0.018 0.822
O: 0.207 0.482 0.322
O: 0.235 0.571 0.602
O: 0.235 0.929 0.102
O: 0.412 0.250 0.045
O: 0.412 0.250 0.545
O: 0.588 0.750 0.455
O: 0.588 0.750 0.955
O: 0.765 0.071 0.898
O: 0.765 0.429 0.398
O: 0.793 0.518 0.678
O: 0.793 0.982 0.178
O: 0.887 0.659 0.038
O: 0.887 0.841 0.538

Output
calculated volume = 18.92 Å³ per atom
formation energy without anion corrections = -2.27 eV/atom
magnetic moment = 0.01 Bohr magnetons per cell

2.
Entry from the Alexandria database: BaCaPb2 at its PBEsol-relaxed geometry (meta-GGA SCAN).

Lattice parameters (Å, degrees): 6.032 6.032 6.032 128.64 128.64 75.58
Sites, in units of the cell vectors:
Ba: 0.000 0.000 0.000
Ca: 0.500 0.500 0.000
Pb: 0.250 0.750 0.500
Pb: 0.750 0.250 0.500

Output
calculated volume = 32.57 Å³ per atom
formation enthalpy at 0 K = -0.669 eV/atom
magnetic moment = 0.00 Bohr magnetons per cell

3.
Entry from the Alexandria database: LaBO2 at its PBEsol-relaxed geometry (meta-GGA SCAN).

Lattice parameters (Å, degrees): 6.748 6.748 6.748 23.77 23.77 23.77
Sites, in units of the cell vectors:
La: 0.000 0.000 0.000
B: 0.500 0.500 0.500
O: 0.123 0.123 0.123
O: 0.877 0.877 0.877

Output
calculated volume = 10.96 Å³ per atom
formation energy without anion corrections = -0.73 eV/atom
magnetic moment = 0.00 Bohr magnetons per cell

4.
Entry from the Alexandria database: Mn2CdPb at its PBEsol-relaxed geometry (meta-GGA SCAN).

Lattice parameters (Å, degrees): 4.257 4.257 3.934 90.00 90.00 90.00
Sites, in units of the cell vectors:
Mn: 0.000 0.500 0.000
Mn: 0.500 0.000 0.000
Cd: 0.000 0.000 0.500
Pb: 0.500 0.500 0.500

Output
calculated volume = 17.82 Å³ per atom
formation enthalpy at 0 K = 0.087 eV/atom
magnetic moment = 7.86 Bohr magnetons per cell

5.
Entry from the Alexandria database: HgAu2Cl at its PBEsol-relaxed geometry (meta-GGA SCAN).

Lattice parameters (Å, degrees): 2.965 4.695 5.535 90.00 90.00 90.00
Sites, in units of the cell vectors:
Hg: 0.000 0.000 0.000
Au: 0.000 0.500 0.500
Au: 0.500 0.500 0.000
Cl: 0.500 0.000 0.500

Output
calculated volume = 19.26 Å³ per atom
formation energy without anion corrections = 0.14 eV/atom
magnetic moment = 0.00 Bohr magnetons per cell

6.
Entry from the Alexandria database: Tb6RuBr10 at its PBEsol-relaxed geometry (meta-GGA SCAN).

Lattice parameters (Å, degrees): 7.253 8.911 9.146 108.17 97.07 105.58
Sites, in units of the cell vectors:
Tb: 0.031 0.210 0.413
Tb: 0.128 0.548 0.247
Tb: 0.373 0.644 0.685
Tb: 0.627 0.356 0.315
Tb: 0.872 0.452 0.753
Tb: 0.969 0.790 0.587
Ru: 0.000 0.500 0.500
Br: 0.088 0.872 0.324
Br: 0.205 0.238 0.149
Br: 0.259 0.584 0.959
Br: 0.353 0.964 0.776
Br: 0.448 0.319 0.585
Br: 0.552 0.681 0.415
Br: 0.647 0.036 0.224
Br: 0.741 0.416 0.041
Br: 0.795 0.762 0.851
Br: 0.912 0.128 0.676

Output
calculated volume = 31.00 Å³ per atom
formation energy without anion corrections = -1.75 eV/atom
magnetic moment = 0.03 Bohr magnetons per cell

7.
Entry from the Alexandria database: KScPb2 at its PBEsol-relaxed geometry (meta-GGA SCAN).

Lattice parameters (Å, degrees): 3.379 3.379 9.708 90.00 90.00 90.00
Sites, in units of the cell vectors:
K: 0.000 0.000 0.000
Sc: 0.000 0.000 0.500
Pb: 0.500 0.500 0.282
Pb: 0.500 0.500 0.718

Output
calculated volume = 27.72 Å³ per atom
formation enthalpy at 0 K = -0.452 eV/atom
magnetic moment = 0.12 Bohr magnetons per cell

8.
Entry from the Alexandria database: ScRe2As at its PBEsol-relaxed geometry (meta-GGA SCAN).

Lattice parameters (Å, degrees): 5.389 5.389 5.389 140.13 140.13 57.65
Sites, in units of the cell vectors:
Sc: 0.000 0.000 0.000
Re: 0.250 0.750 0.500
Re: 0.750 0.250 0.500
As: 0.500 0.500 0.000

Output
calculated volume = 15.94 Å³ per atom
formation enthalpy at 0 K = 0.026 eV/atom
magnetic moment = 0.00 Bohr magnetons per cell

9.
Entry from the Alexandria database: La2TlCd2 at its PBEsol-relaxed geometry (meta-GGA SCAN).

Lattice parameters (Å, degrees): 10.023 10.023 10.023 157.41 157.41 32.16
Sites, in units of the cell vectors:
La: 0.101 0.101 0.000
La: 0.899 0.899 0.000
Tl: 0.500 0.500 0.000
Cd: 0.250 0.750 0.500
Cd: 0.750 0.250 0.500

Output
calculated volume = 29.68 Å³ per atom
formation enthalpy at 0 K = -0.273 eV/atom
magnetic moment = 0.00 Bohr magnetons per cell

10.
Entry from the Alexandria database: ScWN2 at its PBEsol-relaxed geometry (meta-GGA SCAN).

Lattice parameters (Å, degrees): 6.299 6.299 6.299 29.12 29.12 29.12
Sites, in units of the cell vectors:
Sc: 0.000 0.000 0.000
W: 0.500 0.500 0.500
N: 0.396 0.396 0.396
N: 0.604 0.604 0.604

Output
calculated volume = 13.08 Å³ per atom
formation energy without anion corrections = -0.75 eV/atom
magnetic moment = 0.00 Bohr magnetons per cell

11.
Entry from the Alexandria database: Na2SiAgO at its PBEsol-relaxed geometry (meta-GGA SCAN).

Lattice parameters (Å, degrees): 5.556 5.556 4.548 90.00 90.00 90.00
Sites, in units of the cell vectors:
Na: 0.000 0.500 0.000
Na: 0.500 0.000 0.000
Si: 0.000 0.000 0.000
Ag: 0.000 0.000 0.500
O: 0.500 0.500 0.500

Output
calculated volume = 28.08 Å³ per atom
formation energy without anion corrections = 0.52 eV/atom
magnetic moment = 1.79 Bohr magnetons per cell

12.
Entry from the Alexandria database: CsKIn3 at its PBEsol-relaxed geometry (meta-GGA SCAN).

Lattice parameters (Å, degrees): 6.381 6.381 6.381 90.00 90.00 90.00
Sites, in units of the cell vectors:
Cs: 0.000 0.000 0.000
K: 0.500 0.500 0.500
In: 0.000 0.000 0.500
In: 0.000 0.500 0.000
In: 0.500 0.000 0.000

Output
calculated volume = 51.95 Å³ per atom
formation enthalpy at 0 K = 0.717 eV/atom
magnetic moment = 0.00 Bohr magnetons per cell